No. 1
Sr2YbReO6 | PBE | relaxed

The structure in CIF format:
```
data_Sr2YbReO6
_symmetry_space_group_name_H-M 'P 1'
_symmetry_Int_Tables_number 1
_cell_length_a 5.882
_cell_length_b 5.882
_cell_length_c 5.882
_cell_angle_alpha 60.00
_cell_angle_beta 60.00
_cell_angle_gamma 60.00
loop_
_symmetry_equiv_pos_as_xyz
'x,y,z'
loop_
_atom_site_label
_atom_site_type_symbol
_atom_site_fract_x
_atom_site_fract_y
_atom_site_fract_z
Sr1 Sr 0.250 0.250 0.250
Sr2 Sr 0.750 0.750 0.750
Yb1 Yb 0.000 0.000 0.000
Re1 Re 0.500 0.500 0.500
O1 O 0.267 0.267 0.733
O2 O 0.267 0.733 0.267
O3 O 0.267 0.733 0.733
O4 O 0.733 0.267 0.267
O5 O 0.733 0.267 0.733
O6 O 0.733 0.733 0.267
```

No. 2
Sr2ZnReO6 | PBE | relaxed

The structure in CIF format:
```
data_Sr2ZnReO6
_symmetry_space_group_name_H-M 'P 1'
_symmetry_Int_Tables_number 1
_cell_length_a 5.683
_cell_length_b 5.666
_cell_length_c 9.808
_cell_angle_alpha 90.00
_cell_angle_beta 125.30
_cell_angle_gamma 90.00
loop_
_symmetry_equiv_pos_as_xyz
'x,y,z'
loop_
_atom_site_label
_atom_site_type_symbol
_atom_site_fract_x
_atom_site_fract_y
_atom_site_fract_z
Sr1 Sr 0.247 0.023 0.250
Sr2 Sr 0.247 0.477 0.750
Sr3 Sr 0.753 0.523 0.250
Sr4 Sr 0.753 0.977 0.750
Zn1 Zn 0.500 0.000 0.000
Zn2 Zn 0.500 0.500 0.500
Re1 Re 0.000 0.000 0.500
Re2 Re 0.000 0.500 0.000
O1 O 0.181 0.234 0.969
O2 O 0.181 0.266 0.469
O3 O 0.235 0.714 0.971
O4 O 0.235 0.786 0.471
O5 O 0.297 0.008 0.739
O6 O 0.297 0.492 0.239
O7 O 0.703 0.508 0.761
O8 O 0.703 0.992 0.261
O9 O 0.765 0.214 0.529
O10 O 0.765 0.286 0.029
O11 O 0.819 0.734 0.531
O12 O 0.819 0.766 0.031
```

No. 3
Sr2ZrReO8 | PBE | relaxed

The structure in CIF format:
```
data_Sr2ZrReO8
_symmetry_space_group_name_H-M 'P 1'
_symmetry_Int_Tables_number 1
_cell_length_a 5.353
_cell_length_b 6.595
_cell_length_c 5.366
_cell_angle_alpha 90.00
_cell_angle_beta 91.67
_cell_angle_gamma 90.00
loop_
_symmetry_equiv_pos_as_xyz
'x,y,z'
loop_
_atom_site_label
_atom_site_type_symbol
_atom_site_fract_x
_atom_site_fract_y
_atom_site_fract_z
Sr1 Sr 0.000 0.248 0.000
Sr2 Sr 0.000 0.752 0.000
Zr1 Zr 0.500 0.500 0.500
Re1 Re 0.500 0.000 0.500
O1 O 0.231 0.500 0.229
O2 O 0.253 0.000 0.251
O3 O 0.332 0.219 0.666
O4 O 0.332 0.781 0.666
O5 O 0.668 0.219 0.334
O6 O 0.668 0.781 0.334
O7 O 0.747 0.000 0.749
O8 O 0.769 0.500 0.771
```

No. 4
TaRe3O | PBE | relaxed

The structure in CIF format:
```
data_TaRe3O
_symmetry_space_group_name_H-M 'P 1'
_symmetry_Int_Tables_number 1
_cell_length_a 4.123
_cell_length_b 4.123
_cell_length_c 4.123
_cell_angle_alpha 90.00
_cell_angle_beta 90.00
_cell_angle_gamma 90.00
loop_
_symmetry_equiv_pos_as_xyz
'x,y,z'
loop_
_atom_site_label
_atom_site_type_symbol
_atom_site_fract_x
_atom_site_fract_y
_atom_site_fract_z
Ta1 Ta 0.000 0.000 0.000
Re1 Re 0.000 0.500 0.500
Re2 Re 0.500 0.000 0.500
Re3 Re 0.500 0.500 0.000
O1 O 0.500 0.500 0.500
```

Number 1: uncorrected formation energy -2.49 eV/atom, M_tot 0.0004 μB/atom, density of states at the Fermi level 3.0 states/eV per cell. Number 2: uncorrected formation energy -2.14 eV/atom, M_tot 0.1019 μB/atom, density of states at the Fermi level 9.1 states/eV per cell. Number 3: uncorrected formation energy -2.23 eV/atom, M_tot 0.0914 μB/atom, density of states at the Fermi level 11.0 states/eV per cell. Number 4: uncorrected formation energy 0.15 eV/atom, M_tot 0.0000 μB/atom, density of states at the Fermi level 4.8 states/eV per cell.